Entry 1:
Entry from the Alexandria database: Ti4GaIr after structural relaxation (PBE). Values from VASP.

Output
* energy: -7.45 eV per atom
* E_form: -20.0 kJ per mole of atoms
* ρ: 6.69 g/cm³
* offset from the most stable computed form: 294.1 meV/atom

```
&SYSTEM
  ibrav = 0, nat = 6, ntyp = 3
/
ATOMIC_SPECIES
Ti 47.87 Ti.upf
Ga 69.72 Ga.upf
Ir 192.22 Ir.upf
CELL_PARAMETERS angstrom
4.268 0.000 -0.001
0.000 4.268 -0.002
0.003 0.004 6.175
ATOMIC_POSITIONS crystal
Ti 0.501 0.997 0.258
Ti 0.501 0.997 0.739
Ti 0.001 0.497 0.739
Ti 0.001 0.497 0.258
Ga 0.501 0.497 0.998
Ir 0.001 0.997 0.498
```



Entry 2:
Entry from the Alexandria database: Sc2OsPbO8 after structural relaxation (PBE). Values from VASP.

Output
* energy: -7.61 eV per atom
* ρ: 6.61 g/cm³

```
&SYSTEM
  ibrav = 0, nat = 12, ntyp = 4
/
ATOMIC_SPECIES
Sc 44.96 Sc.upf
Os 190.23 Os.upf
Pb 207.20 Pb.upf
O 16.00 O.upf
CELL_PARAMETERS angstrom
4.835 -0.007 -0.003
0.017 4.834 -0.005
0.004 0.007 6.610
ATOMIC_POSITIONS crystal
Sc 0.500 0.500 0.742
Sc 0.500 0.500 0.258
Os 0.000 0.000 0.000
Pb 0.000 0.000 0.500
O 0.192 0.807 0.217
O 0.727 0.727 0.000
O 0.808 0.193 0.217
O 0.808 0.193 0.783
O 0.273 0.273 0.000
O 0.192 0.807 0.783
O 0.681 0.681 0.500
O 0.319 0.319 0.500
```



Entry 3:
Entry from the Alexandria database: TiVFe2 after structural relaxation (PBE). Values from VASP.

Output
* energy: -8.74 eV per atom
* E_form: -24.2 kJ per mole of atoms
* ρ: 7.07 g/cm³

```
&SYSTEM
  ibrav = 0, nat = 4, ntyp = 3
/
ATOMIC_SPECIES
Ti 47.87 Ti.upf
Fe 55.84 Fe.upf
V 50.94 V.upf
CELL_PARAMETERS angstrom
2.909 0.000 0.000
0.000 4.122 0.000
0.000 0.000 4.122
ATOMIC_POSITIONS crystal
Ti 0.500 0.000 0.000
Fe 0.000 0.000 0.500
Fe 0.000 0.500 0.000
V 0.500 0.500 0.500
```



Entry 4:
Entry from the Alexandria database: Zn2CdGa after structural relaxation (PBE). Values from VASP.

Output
* energy: -1.45 eV per atom
* E_form: 16.2 kJ per mole of atoms
* ρ: 6.49 g/cm³
* offset from the most stable computed form: 95.1 meV/atom

```
&SYSTEM
  ibrav = 0, nat = 8, ntyp = 3
/
ATOMIC_SPECIES
Zn 65.41 Zn.upf
Ga 69.72 Ga.upf
Cd 112.41 Cd.upf
CELL_PARAMETERS angstrom
-6.524 -2.549 -2.809
1.069 -6.598 3.504
-4.084 -3.593 2.608
ATOMIC_POSITIONS crystal
Zn 0.604 0.125 0.250
Zn 0.146 0.625 0.250
Zn 0.375 0.396 0.750
Zn 0.875 0.854 0.750
Ga 0.500 0.500 0.000
Ga 0.250 0.750 0.500
Cd 0.000 0.000 0.000
Cd 0.750 0.250 0.500
```



Entry 5:
Entry from the Alexandria database: NdZn2Ni4Sn after structural relaxation (PBE). Values from VASP.

Output
* energy: -4.47 eV per atom
* E_form: -15.9 kJ per mole of atoms
* ρ: 8.46 g/cm³

```
&SYSTEM
  ibrav = 0, nat = 8, ntyp = 4
/
ATOMIC_SPECIES
Nd 144.24 Nd.upf
Zn 65.41 Zn.upf
Ni 58.69 Ni.upf
Sn 118.71 Sn.upf
CELL_PARAMETERS angstrom
4.460 0.000 0.000
2.230 3.863 0.000
2.230 1.288 7.161
ATOMIC_POSITIONS crystal
Nd 0.000 0.000 0.000
Zn 0.747 0.747 0.758
Zn 0.253 0.253 0.242
Ni 0.383 0.383 0.852
Ni 0.866 0.866 0.402
Ni 0.134 0.134 0.598
Ni 0.617 0.617 0.148
Sn 0.500 0.500 0.500
```



Entry 6:
Entry from the Alexandria database: Ba2ScGaSe5 after structural relaxation (PBE). Values from VASP.

Output
* energy: -4.99 eV per atom
* ρ: 4.96 g/cm³

```
&SYSTEM
  ibrav = 0, nat = 18, ntyp = 4
/
ATOMIC_SPECIES
Ba 137.33 Ba.upf
Sc 44.96 Sc.upf
Ga 69.72 Ga.upf
Se 78.96 Se.upf
CELL_PARAMETERS angstrom
-0.113 -2.188 3.532
8.393 -2.911 -3.979
6.388 9.822 6.290
ATOMIC_POSITIONS crystal
Ba 0.871 0.741 0.819
Ba 0.123 0.246 0.687
Ba 0.129 0.259 0.319
Ba 0.877 0.754 0.187
Sc 0.792 0.583 0.525
Sc 0.208 0.417 0.025
Ga 0.563 0.127 0.933
Ga 0.437 0.873 0.433
Se 0.345 0.690 0.006
Se 0.689 0.378 0.880
Se 0.501 0.003 0.778
Se 0.295 0.591 0.657
Se 0.946 0.892 0.540
Se 0.655 0.310 0.506
Se 0.311 0.622 0.380
Se 0.499 0.997 0.278
Se 0.705 0.409 0.157
Se 0.054 0.108 0.040
```



Entry 7:
Entry from the Alexandria database: Ta2FeNi after structural relaxation (PBE). Values from VASP.

Output
* energy: -9.54 eV per atom
* E_form: -5.2 kJ per mole of atoms
* ρ: 13.56 g/cm³

```
&SYSTEM
  ibrav = 0, nat = 4, ntyp = 3
/
ATOMIC_SPECIES
Fe 55.84 Fe.upf
Ni 58.69 Ni.upf
Ta 180.95 Ta.upf
CELL_PARAMETERS angstrom
2.752 -0.037 0.000
-0.466 2.713 0.000
0.000 0.000 7.830
ATOMIC_POSITIONS crystal
Fe 0.500 0.500 0.250
Ni 0.500 0.500 0.750
Ta 0.000 0.000 0.000
Ta 0.000 0.000 0.500
```



Entry 8:
Entry from the Alexandria database: KZr2Tc after structural relaxation (PBE). Values from VASP.

Output
* energy: -6.80 eV per atom
* E_form: 33.0 kJ per mole of atoms
* ρ: 4.46 g/cm³
* offset from the most stable computed form: 206.0 meV/atom

```
&SYSTEM
  ibrav = 0, nat = 4, ntyp = 3
/
ATOMIC_SPECIES
K 39.10 K.upf
Tc 98.00 Tc.upf
Zr 91.22 Zr.upf
CELL_PARAMETERS angstrom
-0.275 -4.199 -0.708
2.350 -3.401 1.060
-4.773 -1.533 7.778
ATOMIC_POSITIONS crystal
K 0.250 0.250 0.250
Tc 0.750 0.750 0.750
Zr 0.021 0.021 0.894
Zr 0.479 0.479 0.606
```



Entry 9:
Entry from the Alexandria database: Cd2Pb2I after structural relaxation (PBE). Values from VASP.

Output
* energy: -2.16 eV per atom
* ρ: 8.08 g/cm³
* offset from the most stable computed form: 0.0 meV/atom

```
&SYSTEM
  ibrav = 0, nat = 10, ntyp = 3
/
ATOMIC_SPECIES
Pb 207.20 Pb.upf
I 126.90 I.upf
Cd 112.41 Cd.upf
CELL_PARAMETERS angstrom
8.903 0.000 0.000
0.000 8.903 0.000
0.000 0.000 3.972
ATOMIC_POSITIONS crystal
Pb 0.366 0.866 0.000
Pb 0.866 0.634 0.000
Pb 0.634 0.134 0.000
Pb 0.134 0.366 0.000
I 0.000 0.000 0.000
I 0.500 0.500 0.000
Cd 0.167 0.667 0.500
Cd 0.667 0.833 0.500
Cd 0.833 0.333 0.500
Cd 0.333 0.167 0.500
```



Entry 10:
Entry from the Alexandria database: Ti3NbZn4 after structural relaxation (PBE). Values from VASP.

Output
* energy: -4.97 eV per atom
* E_form: -11.4 kJ per mole of atoms
* ρ: 6.56 g/cm³

```
&SYSTEM
  ibrav = 0, nat = 8, ntyp = 3
/
ATOMIC_SPECIES
Nb 92.91 Nb.upf
Zn 65.41 Zn.upf
Ti 47.87 Ti.upf
CELL_PARAMETERS angstrom
-1.039 1.872 2.108
2.512 -2.167 3.162
6.972 5.705 -1.629
ATOMIC_POSITIONS crystal
Nb 0.500 0.500 0.000
Zn 0.000 0.000 0.500
Zn 0.000 0.500 0.744
Zn 0.000 0.000 0.000
Zn 0.000 0.500 0.256
Ti 0.500 0.000 0.248
Ti 0.500 0.500 0.500
Ti 0.500 0.000 0.752
```



Entry 11:
Entry from the Alexandria database: K2NaGa4Au3 after structural relaxation (PBE). Values from VASP.

Output
* energy: -2.77 eV per atom
* E_form: -21.3 kJ per mole of atoms
* ρ: 6.67 g/cm³

```
&SYSTEM
  ibrav = 0, nat = 10, ntyp = 4
/
ATOMIC_SPECIES
K 39.10 K.upf
Na 22.99 Na.upf
Ga 69.72 Ga.upf
Au 196.97 Au.upf
CELL_PARAMETERS angstrom
4.747 0.000 0.000
0.000 4.747 0.000
0.000 0.000 10.720
ATOMIC_POSITIONS crystal
K 0.500 0.000 0.244
K 0.000 0.500 0.756
Na 0.500 0.500 0.500
Ga 0.500 0.500 0.000
Ga 0.000 0.000 0.000
Ga 0.500 0.000 0.641
Ga 0.000 0.500 0.359
Au 0.000 0.000 0.500
Au 0.500 0.000 0.881
Au 0.000 0.500 0.119
```



Entry 12:
Entry from the Alexandria database: Fe2CuRu after structural relaxation (PBE). Values from VASP.

Output
* energy: -7.40 eV per atom
* E_form: 17.3 kJ per mole of atoms
* ρ: 9.24 g/cm³
* offset from the most stable computed form: 15.4 meV/atom

```
&SYSTEM
  ibrav = 0, nat = 4, ntyp = 3
/
ATOMIC_SPECIES
Cu 63.55 Cu.upf
Fe 55.84 Fe.upf
Ru 101.07 Ru.upf
CELL_PARAMETERS angstrom
-0.017 0.297 -4.470
-2.329 -0.707 -3.761
-1.923 4.042 -0.550
ATOMIC_POSITIONS crystal
Cu 0.252 0.252 0.236
Fe 0.003 0.003 0.007
Fe 0.748 0.748 0.743
Ru 0.497 0.497 0.514
```



Entry 13:
Entry from the Alexandria database: HoZrFe10 after structural relaxation (PBE). Values from VASP.

Output
* energy: -8.22 eV per atom
* E_form: -6.7 kJ per mole of atoms
* ρ: 8.19 g/cm³

```
&SYSTEM
  ibrav = 0, nat = 12, ntyp = 3
/
ATOMIC_SPECIES
Ho 164.93 Ho.upf
Zr 91.22 Zr.upf
Fe 55.84 Fe.upf
CELL_PARAMETERS angstrom
-2.789 0.306 -2.782
-3.485 -0.227 3.469
0.188 8.462 0.744
ATOMIC_POSITIONS crystal
Ho 0.000 0.000 0.000
Zr 0.000 0.500 0.500
Fe 0.000 0.000 0.338
Fe 0.000 0.500 0.829
Fe 0.000 0.500 0.171
Fe 0.000 0.000 0.662
Fe 0.500 0.000 0.500
Fe 0.500 0.500 0.000
Fe 0.500 0.252 0.254
Fe 0.500 0.748 0.746
Fe 0.500 0.748 0.254
Fe 0.500 0.252 0.746
```



Entry 14:
Entry from the Alexandria database: KMg2Zn2Sn2 after structural relaxation (PBE). Values from VASP.

Output
* energy: -2.28 eV per atom
* E_form: -15.3 kJ per mole of atoms
* ρ: 4.12 g/cm³

```
&SYSTEM
  ibrav = 0, nat = 7, ntyp = 4
/
ATOMIC_SPECIES
K 39.10 K.upf
Mg 24.30 Mg.upf
Zn 65.41 Zn.upf
Sn 118.71 Sn.upf
CELL_PARAMETERS angstrom
4.715 0.000 0.000
2.358 4.084 0.000
2.358 1.361 9.534
ATOMIC_POSITIONS crystal
K 0.000 0.000 0.000
Mg 0.140 0.140 0.581
Mg 0.860 0.860 0.419
Zn 0.549 0.549 0.353
Zn 0.451 0.451 0.647
Sn 0.754 0.754 0.738
Sn 0.246 0.246 0.262
```



Entry 15:
Entry from the Alexandria database: Tb2Er7Mg2 after structural relaxation (PBE). Values from VASP.

Output
* energy: -3.71 eV per atom
* E_form: 31.6 kJ per mole of atoms
* ρ: 7.31 g/cm³
* offset from the most stable computed form: 152.3 meV/atom

```
&SYSTEM
  ibrav = 0, nat = 11, ntyp = 3
/
ATOMIC_SPECIES
Tb 158.93 Tb.upf
Er 167.26 Er.upf
Mg 24.30 Mg.upf
CELL_PARAMETERS angstrom
8.330 4.389 3.569
4.787 10.898 -3.654
1.246 -4.389 8.977
ATOMIC_POSITIONS crystal
Tb 0.676 0.000 0.676
Tb 0.324 0.000 0.324
Er 0.317 0.658 0.323
Er 0.677 0.658 0.683
Er 0.643 0.067 0.357
Er 0.000 0.500 0.000
Er 0.357 0.933 0.643
Er 0.683 0.342 0.677
Er 0.323 0.342 0.317
Mg 0.193 0.720 0.807
Mg 0.807 0.280 0.193
```



Entry 16:
Entry from the Alexandria database: SrZnSi2 after structural relaxation (PBE). Values from VASP.

Output
* energy: -3.51 eV per atom
* ρ: 3.77 g/cm³

```
&SYSTEM
  ibrav = 0, nat = 4, ntyp = 3
/
ATOMIC_SPECIES
Si 28.09 Si.upf
Sr 87.62 Sr.upf
Zn 65.41 Zn.upf
CELL_PARAMETERS angstrom
-3.018 2.779 -1.017
-2.330 -1.619 2.488
1.366 3.200 4.693
ATOMIC_POSITIONS crystal
Si 0.000 0.976 0.895
Si 0.000 0.524 0.605
Sr 0.500 0.250 0.250
Zn 0.500 0.750 0.750
```



Entry 17:
Entry from the Alexandria database: RbHoZnO3 after structural relaxation (PBE). Values from VASP.

Output
* energy: -5.85 eV per atom
* ρ: 5.44 g/cm³

```
&SYSTEM
  ibrav = 0, nat = 12, ntyp = 4
/
ATOMIC_SPECIES
Rb 85.47 Rb.upf
Ho 164.93 Ho.upf
Zn 65.41 Zn.upf
O 16.00 O.upf
CELL_PARAMETERS angstrom
3.530 0.000 0.000
0.000 7.878 -0.185
0.000 -2.278 8.036
ATOMIC_POSITIONS crystal
Rb 0.250 0.204 0.217
Rb 0.750 0.796 0.783
Ho 0.250 0.656 0.141
Ho 0.750 0.344 0.859
Zn 0.250 0.081 0.615
Zn 0.750 0.919 0.385
O 0.750 0.848 0.143
O 0.250 0.152 0.857
O 0.250 0.830 0.451
O 0.750 0.170 0.549
O 0.750 0.468 0.131
O 0.250 0.532 0.869
```



Entry 18:
Entry from the Alexandria database: Co3GeRu after structural relaxation (PBE). Values from VASP.

Output
* energy: -5.93 eV per atom
* E_form: 106.9 kJ per mole of atoms
* ρ: 7.49 g/cm³
* offset from the most stable computed form: 0.0 meV/atom

```
&SYSTEM
  ibrav = 0, nat = 5, ntyp = 3
/
ATOMIC_SPECIES
Ru 101.07 Ru.upf
Ge 72.64 Ge.upf
Co 58.93 Co.upf
CELL_PARAMETERS angstrom
-0.213 4.058 1.307
-0.400 -1.322 4.039
4.244 0.079 0.446
ATOMIC_POSITIONS crystal
Ru 0.500 0.500 0.500
Ge 0.000 0.000 0.000
Co 0.000 0.500 0.000
Co 0.000 0.000 0.500
Co 0.500 0.000 0.000
```



Entry 19:
Entry from the Alexandria database: PuPdRhO6 after structural relaxation (PBE). Values from VASP.

Output
* energy: -7.64 eV per atom
* ρ: 8.48 g/cm³

```
&SYSTEM
  ibrav = 0, nat = 18, ntyp = 4
/
ATOMIC_SPECIES
Pu 244.00 Pu.upf
Pd 106.42 Pd.upf
Rh 102.91 Rh.upf
O 16.00 O.upf
CELL_PARAMETERS angstrom
-0.218 4.896 -1.863
-3.131 -3.704 -1.990
-6.322 2.051 6.131
ATOMIC_POSITIONS crystal
Pu 0.667 0.333 0.250
Pu 0.333 0.667 0.750
Pd 0.333 0.667 0.250
Pd 0.667 0.333 0.750
Rh 0.000 0.000 0.000
Rh 0.000 0.000 0.500
O 0.673 0.671 0.122
O 0.998 0.327 0.122
O 0.327 0.998 0.622
O 0.002 0.673 0.878
O 0.329 0.327 0.378
O 0.998 0.671 0.378
O 0.671 0.998 0.878
O 0.673 0.002 0.378
O 0.002 0.329 0.622
O 0.329 0.002 0.122
O 0.671 0.673 0.622
O 0.327 0.329 0.878
```



Entry 20:
Entry from the Alexandria database: CaPr2Hg4 after structural relaxation (PBE). Values from VASP.

Output
* energy: -2.20 eV per atom
* E_form: -35.9 kJ per mole of atoms
* ρ: 8.84 g/cm³
* offset from the most stable computed form: 0.0 meV/atom

```
&SYSTEM
  ibrav = 0, nat = 7, ntyp = 3
/
ATOMIC_SPECIES
Pr 140.91 Pr.upf
Ca 40.08 Ca.upf
Hg 200.59 Hg.upf
CELL_PARAMETERS angstrom
-3.222 -3.584 -2.112
-2.689 -3.280 3.114
-8.613 3.482 0.675
ATOMIC_POSITIONS crystal
Pr 0.754 0.754 0.739
Pr 0.246 0.246 0.261
Ca 0.000 0.000 0.000
Hg 0.874 0.874 0.378
Hg 0.126 0.126 0.622
Hg 0.626 0.626 0.122
Hg 0.374 0.374 0.878
```



Entry 21:
Entry from the Alexandria database: Fe5Ni3Pt3 after structural relaxation (PBE). Values from VASP.

Output
* energy: -6.78 eV per atom
* E_form: 28.5 kJ per mole of atoms
* ρ: 11.02 g/cm³

```
&SYSTEM
  ibrav = 0, nat = 11, ntyp = 3
/
ATOMIC_SPECIES
Fe 55.84 Fe.upf
Ni 58.69 Ni.upf
Pt 195.08 Pt.upf
CELL_PARAMETERS angstrom
-0.208 2.304 1.198
-7.028 1.554 -4.209
-0.329 -3.867 7.380
ATOMIC_POSITIONS crystal
Fe 0.500 0.667 0.333
Fe 0.500 0.333 0.667
Fe 0.500 0.324 0.000
Fe 0.500 0.676 0.676
Fe 0.500 0.000 0.324
Ni 0.500 0.840 0.000
Ni 0.500 0.160 0.160
Ni 0.500 0.000 0.840
Pt 0.000 0.584 0.000
Pt 0.000 0.000 0.584
Pt 0.000 0.416 0.416
```



Entry 22:
Entry from the Alexandria database: Rb3LiIn2Br9 after structural relaxation (PBE). Values from VASP.

Output
* energy: -2.96 eV per atom
* ρ: 3.93 g/cm³

```
&SYSTEM
  ibrav = 0, nat = 15, ntyp = 4
/
ATOMIC_SPECIES
Rb 85.47 Rb.upf
Li 6.94 Li.upf
In 114.82 In.upf
Br 79.90 Br.upf
CELL_PARAMETERS angstrom
7.829 0.000 0.000
-3.914 6.780 0.000
0.000 0.000 9.647
ATOMIC_POSITIONS crystal
Rb 0.333 0.667 0.657
Rb 0.000 0.000 0.000
Rb 0.667 0.333 0.343
Li 0.000 0.000 0.500
In 0.333 0.667 0.178
In 0.667 0.333 0.822
Br 0.835 0.165 0.667
Br 0.835 0.670 0.667
Br 0.330 0.165 0.667
Br 0.670 0.835 0.333
Br 0.165 0.330 0.333
Br 0.165 0.835 0.333
Br 0.500 0.000 0.000
Br 0.000 0.500 0.000
Br 0.500 0.500 0.000
```



Entry 23:
Entry from the Alexandria database: P2PbCl after structural relaxation (PBE). Values from VASP.

Output
* energy: -3.37 eV per atom
* ρ: 5.91 g/cm³
* offset from the most stable computed form: 955.1 meV/atom

```
&SYSTEM
  ibrav = 0, nat = 4, ntyp = 3
/
ATOMIC_SPECIES
Cl 35.45 Cl.upf
P 30.97 P.upf
Pb 207.20 Pb.upf
CELL_PARAMETERS angstrom
5.141 0.000 0.000
0.000 5.141 0.000
0.000 0.000 3.238
ATOMIC_POSITIONS crystal
Cl 0.000 0.500 0.500
P 0.000 0.000 0.000
P 0.500 0.500 0.000
Pb 0.500 0.000 0.500
```



Entry 24:
Entry from the Alexandria database: CsLaHg2Bi after structural relaxation (PBE). Values from VASP.

Output
* energy: -1.95 eV per atom
* E_form: 9.6 kJ per mole of atoms
* ρ: 6.30 g/cm³

```
&SYSTEM
  ibrav = 0, nat = 5, ntyp = 4
/
ATOMIC_SPECIES
Cs 132.91 Cs.upf
La 138.91 La.upf
Bi 208.98 Bi.upf
Hg 200.59 Hg.upf
CELL_PARAMETERS angstrom
-3.110 5.269 0.136
-4.513 -2.581 -3.228
-2.759 -1.765 5.269
ATOMIC_POSITIONS crystal
Cs 0.500 0.500 0.500
La 0.000 0.000 0.500
Bi 0.000 0.000 0.000
Hg 0.000 0.500 0.000
Hg 0.500 0.000 0.000
```



Respective spin magnetization values: 0.00, 0.00, 0.68, 0.00, 0.00, 0.00, 1.59, 0.00, 0.00, 0.00, 0.00, 4.68, 19.14, 0.00, 0.00, 0.00, 0.00, 6.89, 3.07, 0.00, 17.54, 0.00, 0.00, 0.00 μB/f.u..